A plane-wave DFT calculation with PBE was carried out for crystalline YTaTiBr2 at its relaxed geometry.

It has space group P4/mmm (No. 123), with a = 5.2404 Å, b = 5.2404 Å, c = 6.6398 Å, α = 90.00°, β = 90.00° and γ = 90.00°. The asymmetric unit holds Y at (0.0000, 0.0000, 0.0000), Ta at (0.5000, 0.5000, 0.5000), Ti at (0.0000, 0.0000, 0.5000) and Br at (0.0000, 0.5000, 0.0000).

For the raw formation energy, the calculation gives 1.049 eV/atom. For the mass density, the calculation gives 4.3 Mg/m³. The density of states at the Fermi level comes out at 1.106 states/eV/atom.

---

A plane-wave DFT calculation with PBE was carried out for crystalline HOsPt2 at its relaxed geometry.

It has space group R-3m (No. 166, hexagonal axes), with a = 2.7199 Å, b = 2.7199 Å, c = 23.9656 Å, α = 90.00°, β = 90.00° and γ = 120.00°. The asymmetric unit holds H at (0.0000, 0.0000, 0.0000), Os at (0.0000, 0.0000, 0.5000) and Pt at (0.0000, 0.0000, 0.3907).

For the mass density, the calculation gives 18.9 Mg/m³. The density of states at the Fermi level comes out at 0.821 states/eV/atom. For the relative energy among the computed polymorphs, the calculation gives 0 meV per atom.

---

A plane-wave DFT calculation with PBE was carried out for crystalline Nd2H2SeS at its relaxed geometry.

It has space group P-3m1 (No. 164), with a = 3.9753 Å, b = 3.9753 Å, c = 7.7843 Å, α = 90.00°, β = 90.00° and γ = 120.00°. The asymmetric unit holds Nd at (0.3333, 0.6667, 0.2591), H at (0.3333, 0.6667, 0.7433), Se at (0.0000, 0.0000, 0.0000) and S at (0.0000, 0.0000, 0.5000).

The calculation puts the total energy at -5.46 eV/atom. For the mass density, the calculation gives 6.3 Mg/m³. The density of states at the Fermi level comes out at 0.000 states/eV/atom.

---

A plane-wave DFT calculation with PBE was carried out for crystalline Li2InPb at its relaxed geometry.

It has space group R3m (No. 160, hexagonal axes), with a = 3.3441 Å, b = 3.3441 Å, c = 28.1460 Å, α = 90.00°, β = 90.00° and γ = 120.00°. The asymmetric unit holds Li at (0.0000, 0.0000, 0.0000), Li at (0.0000, 0.0000, 0.1622), In at (0.0000, 0.0000, 0.7477) and Pb at (0.0000, 0.0000, 0.5814).

For the mass density, the calculation gives 6.1 Mg/m³. The density of states at the Fermi level comes out at 0.621 states/eV/atom. Its energy relative to the elements is -0.18 eV/atom. For the relative energy among the computed polymorphs, the calculation gives 97 meV per atom.

---

A plane-wave DFT calculation with PBE was carried out for crystalline NdIn3Au2 at its relaxed geometry.

It has space group C2/m (No. 12), with a = 17.1244 Å, b = 4.5047 Å, c = 8.7400 Å, α = 90.00°, β = 120.54° and γ = 90.00°. The asymmetric unit holds Nd at (0.1273, 0.0000, 0.1308), In at (0.0055, 0.0000, 0.6624), In at (0.1689, 0.5000, 0.4727), In at (0.1723, 0.5000, 0.8730), Au at (0.0007, 0.5000, 0.8432) and Au at (0.2131, 0.0000, 0.7123).

For the mass density, the calculation gives 10.1 Mg/m³. The density of states at the Fermi level comes out at 0.340 states/eV/atom. Its energy relative to the elements is -0.47 eV/atom.

---

A plane-wave DFT calculation with PBE was carried out for crystalline Sr6AsN2Cl3 at its relaxed geometry.

It has space group C2/m (No. 12), with a = 7.1204 Å, b = 12.3363 Å, c = 7.5929 Å, α = 90.00°, β = 108.35° and γ = 90.00°. The asymmetric unit holds Sr at (0.1972, 0.0000, 0.1987), Sr at (0.2488, 0.1848, 0.8026), As at (0.0000, 0.5000, 0.0000), N at (0.0000, 0.1667, 0.0000), Cl at (0.0000, 0.0000, 0.5000) and Cl at (0.0000, 0.3346, 0.5000).

For the raw formation energy, the calculation gives -1.477 eV/atom. For the mass density, the calculation gives 3.9 Mg/m³. The density of states at the Fermi level comes out at 0.000 states/eV/atom.

---

A plane-wave DFT calculation with PBE was carried out for crystalline Ho5In2Tc at its relaxed geometry.

It has space group Pbam (No. 55), with a = 6.6031 Å, b = 12.6079 Å, c = 4.9905 Å, α = 90.00°, β = 90.00° and γ = 90.00°. The asymmetric unit holds Ho at (0.0000, 0.0000, 0.0000), Ho at (0.1083, 0.2832, 0.0000), Ho at (0.1679, 0.5962, 0.5000), In at (0.1372, 0.8518, 0.5000) and Tc at (0.0000, 0.5000, 0.0000).

For the mass density, the calculation gives 9.2 Mg/m³. The density of states at the Fermi level comes out at 0.726 states/eV/atom. Its energy relative to the elements is -0.28 eV/atom.

---

A plane-wave DFT calculation with PBE was carried out for crystalline LiHSI2 at its relaxed geometry.

It has space group P4/mmm (No. 123), with a = 5.5041 Å, b = 5.5041 Å, c = 4.5611 Å, α = 90.00°, β = 90.00° and γ = 90.00°. The asymmetric unit holds Li at (0.0000, 0.0000, 0.0000), H at (0.5000, 0.5000, 0.5000), S at (0.0000, 0.0000, 0.5000) and I at (0.0000, 0.5000, 0.0000).

The calculation puts the total energy at -1.93 eV/atom. For the mass density, the calculation gives 3.5 Mg/m³. The density of states at the Fermi level comes out at 1.530 states/eV/atom.

---

Q: What is the formula in the fourth record?
A: Li2InPb